Entry 1:
VASP calculation (GGA-PBE) on a relaxed Ca2Ac6Nd3 crystal.

Results
The formation energy is 0.227 eV per formula unit. The value obtained for the electronic total energy is -128.2 eV per cell. Its crystal system is trigonal.

Cell lengths 3.9011, 3.9011, 104.3159 Å; angles 90.00, 90.00, 120.00 degrees
Space group R-3m (No. 166, hexagonal axes)
Inequivalent atoms, fractional coordinates:
Ca (0.0000, 0.0000, 0.0470) [6 per cell]
Ac (0.0000, 0.0000, 0.1373) [6 per cell]
Ac (0.0000, 0.0000, 0.3180) [6 per cell]
Ac (0.0000, 0.0000, 0.4119) [6 per cell]
Nd (0.0000, 0.0000, 0.2257) [6 per cell]
Nd (0.0000, 0.0000, 0.5000) [3 per cell]

***

Entry 2:
VASP calculation (GGA-PBE) on a relaxed Ca5Ac4Nd crystal.

Results
The formation energy is 1.674 eV per formula unit. The value obtained for the electronic total energy is -59.1 eV per cell. Its crystal system is monoclinic.

Cell lengths 19.012, 3.870, 12.132 Å; angles 90.00, 91.35, 90.00 degrees
Space group C2/m (No. 12)
Inequivalent atoms, fractional coordinates:
Ca (0.000, 0.000, 0.000) [2 per cell]
Ca (0.170, 0.500, 0.051) [4 per cell]
Ca (0.170, 0.500, 0.444) [4 per cell]
Ac (0.015, 0.500, 0.253) [4 per cell]
Ac (0.158, 0.000, 0.741) [4 per cell]
Nd (0.000, 0.000, 0.500) [2 per cell]

***

Entry 3:
VASP calculation (GGA-PBE) on a relaxed CaAcNd2 crystal.

Results
The formation energy is 0.522 eV per formula unit. The value obtained for the electronic total energy is -60.5 eV per cell. As for the energy relative to the lowest polymorph listed for this composition: 78.5 meV/atom. Its crystal system is cubic.

Cell lengths 8.535, 8.535, 8.535 Å; angles 90.00, 90.00, 90.00 degrees
Space group Fm-3m (No. 225)
Inequivalent atoms, fractional coordinates:
Ca (0.000, 0.000, 0.000) [4 per cell]
Ac (0.000, 0.000, 0.500) [4 per cell]
Nd (0.250, 0.250, 0.250) [8 per cell]

***

Entry 4:
VASP calculation (GGA-PBE) on a relaxed Ca6Ac8Nd crystal.

Results
The formation energy is 2.630 eV per formula unit. The value obtained for the electronic total energy is -47.0 eV per cell. Its crystal system is trigonal.

Cell lengths 10.7638, 10.7638, 6.5935 Å; angles 90.00, 90.00, 120.00 degrees
Space group P-3 (No. 147)
Inequivalent atoms, fractional coordinates:
Ca (0.0952, 0.6224, 0.2382) [6 per cell]
Ac (0.0516, 0.7829, 0.7316) [6 per cell]
Ac (0.3333, 0.6667, 0.7304) [2 per cell]
Nd (0.0000, 0.0000, 0.0000) [1 per cell]

***

Entry 5:
VASP calculation (GGA-PBE) on a relaxed Ca2Ac15Nd2 crystal.

Results
The formation energy is 4.956 eV per formula unit. The value obtained for the electronic total energy is -210.6 eV per cell. Its crystal system is trigonal.

Cell lengths 12.6561, 12.6561, 19.2287 Å; angles 90.00, 90.00, 120.00 degrees
Space group R-3m (No. 166, hexagonal axes)
Inequivalent atoms, fractional coordinates:
Ca (0.0000, 0.0000, 0.1732) [6 per cell]
Ac (0.0000, 0.2955, 0.5000) [18 per cell]
Ac (0.0000, 0.5000, 0.0000) [9 per cell]
Ac (0.0024, 0.5012, 0.6427) [18 per cell]
Nd (0.0000, 0.0000, 0.4089) [6 per cell]

***

Entry 6:
VASP calculation (GGA-PBE) on a relaxed CaAc6Nd3 crystal.

Results
The formation energy is 0.699 eV per formula unit. The value obtained for the electronic total energy is -80.5 eV per cell. Its crystal system is monoclinic.

Cell lengths 13.867, 3.851, 17.158 Å; angles 90.00, 113.40, 90.00 degrees
Space group P2_1/m (No. 11)
Inequivalent atoms, fractional coordinates:
Ca (0.121, 0.250, 0.495) [2 per cell]
Ac (0.054, 0.250, 0.719) [2 per cell]
Ac (0.243, 0.250, 0.091) [2 per cell]
Ac (0.271, 0.750, 0.904) [2 per cell]
Ac (0.311, 0.750, 0.701) [2 per cell]
Ac (0.373, 0.750, 0.497) [2 per cell]
Ac (0.438, 0.750, 0.296) [2 per cell]
Nd (0.019, 0.750, 0.910) [2 per cell]
Nd (0.200, 0.250, 0.300) [2 per cell]
Nd (0.498, 0.250, 0.898) [2 per cell]

***

Entry 7:
VASP calculation (GGA-PBE) on a relaxed Ca14AcNd crystal.

Results
The formation energy is 0.783 eV per formula unit. The value obtained for the electronic total energy is -72.2 eV per cell. Its crystal system is orthorhombic.

Cell lengths 11.015, 11.030, 11.023 Å; angles 90.00, 90.00, 90.00 degrees
Space group Amm2 (No. 38)
Inequivalent atoms, fractional coordinates:
Ca (0.000, 0.000, 0.000) [2 per cell]
Ca (0.000, 0.000, 0.500) [2 per cell]
Ca (0.000, 0.250, 0.250) [4 per cell]
Ca (0.251, 0.000, 0.247) [4 per cell]
Ca (0.251, 0.000, 0.752) [4 per cell]
Ca (0.251, 0.247, 0.000) [8 per cell]
Ca (0.500, 0.250, 0.250) [4 per cell]
Ac (0.500, 0.000, 0.499) [2 per cell]
Nd (0.500, 0.000, 0.000) [2 per cell]

***

Entry 8:
VASP calculation (GGA-PBE) on a relaxed Ca3Ac8Nd3 crystal.

Results
The formation energy is 5.403 eV per formula unit. The value obtained for the electronic total energy is -95.5 eV per cell. Its crystal system is monoclinic.

Cell lengths 18.387, 10.111, 6.962 Å; angles 90.00, 94.45, 90.00 degrees
Space group C2/m (No. 12)
Inequivalent atoms, fractional coordinates:
Ca (0.000, 0.000, 0.000) [2 per cell]
Ca (0.000, 0.167, 0.500) [4 per cell]
Ac (0.150, 0.334, 0.331) [8 per cell]
Ac (0.163, 0.215, 0.840) [8 per cell]
Nd (0.000, 0.500, 0.000) [2 per cell]
Nd (0.197, 0.000, 0.346) [4 per cell]

***

Number 1: total moment 0.000 μB/atom. Number 2: total moment 0.000 μB/atom. Number 3: total moment 0.000 μB/atom. Number 4: total moment 0.000 μB/atom. Number 5: total moment 0.000 μB/atom. Number 6: total moment 0.000 μB/atom. Number 7: total moment 0.039 μB/atom. Number 8: total moment 0.000 μB/atom.